[1]
## Ag2OsW (PBE)

Data for Ag2OsW after structural relaxation.

Cell and atoms, written as CIF:
```
data_Ag2OsW
_chemical_formula_sum 'Ag8 Os4 W4'
_symmetry_space_group_name_H-M 'F m -3 m'
_symmetry_Int_Tables_number 225
_symmetry_space_group_name_Hall '-F 4 2 3'
_cell_length_a 6.3619
_cell_length_b 6.3619
_cell_length_c 6.3619
_cell_angle_alpha 90.00
_cell_angle_beta 90.00
_cell_angle_gamma 90.00
loop_
_atom_site_label
_atom_site_type_symbol
_atom_site_fract_x
_atom_site_fract_y
_atom_site_fract_z
Ag1 Ag 0.2500 0.2500 0.2500
Os1 Os 0.0000 0.0000 0.0000
W1 W 0.0000 0.0000 0.5000
```

Output
DFT formation energy: 1.145 eV/atom
DOS at the Fermi energy: 23.20 states/eV/cell
energy relative to the lowest polymorph listed for this composition: 858 meV per atom
crystal system: cubic



[2]
## Ag2OsW (PBE)

Data for Ag2OsW after structural relaxation.

Cell and atoms, written as CIF:
```
data_Ag2OsW
_chemical_formula_sum 'Ag2 Os1 W1'
_symmetry_space_group_name_H-M 'P 4/m m m'
_symmetry_Int_Tables_number 123
_symmetry_space_group_name_Hall '-P 4 2'
_cell_length_a 2.6877
_cell_length_b 2.6877
_cell_length_c 8.9941
_cell_angle_alpha 90.00
_cell_angle_beta 90.00
_cell_angle_gamma 90.00
loop_
_atom_site_label
_atom_site_type_symbol
_atom_site_fract_x
_atom_site_fract_y
_atom_site_fract_z
Ag1 Ag 0.0000 0.0000 0.2473
Os1 Os 0.5000 0.5000 0.0000
W1 W 0.5000 0.5000 0.5000
```

Output
DFT formation energy: 0.807 eV/atom
DOS at the Fermi energy: 3.30 states/eV/cell
energy relative to the lowest polymorph listed for this composition: 520 meV per atom
crystal system: tetragonal



[3]
## AgOs2W (PBE)

Data for AgOs2W after structural relaxation.

Cell and atoms, written as CIF:
```
data_AgOs2W
_chemical_formula_sum 'Ag2 Os4 W2'
_symmetry_space_group_name_H-M 'I -4 m 2'
_symmetry_Int_Tables_number 119
_symmetry_space_group_name_Hall 'I -4 -2'
_cell_length_a 3.8784
_cell_length_b 3.8784
_cell_length_c 8.1495
_cell_angle_alpha 90.00
_cell_angle_beta 90.00
_cell_angle_gamma 90.00
loop_
_atom_site_label
_atom_site_type_symbol
_atom_site_fract_x
_atom_site_fract_y
_atom_site_fract_z
Ag1 Ag 0.0000 0.0000 0.0000
Os1 Os 0.0000 0.0000 0.5000
Os2 Os 0.0000 0.5000 0.7500
W1 W 0.0000 0.5000 0.2500
```

Output
DFT formation energy: 0.599 eV/atom
DOS at the Fermi energy: 9.17 states/eV/cell
energy relative to the lowest polymorph listed for this composition: 307 meV per atom
crystal system: tetragonal